A plane-wave DFT calculation with PBE was carried out for an optimized crystal structure of ErTmMgIn.

The calculation puts the total energy at -3.63 eV/atom.

Geometry as CIF:
```
data_ErTmMgIn
_symmetry_space_group_name_H-M 'F -4 3 m'
_symmetry_Int_Tables_number 216
_symmetry_space_group_name_Hall 'F -4 2 3'
_cell_length_a 7.429
_cell_length_b 7.429
_cell_length_c 7.429
_cell_angle_alpha 90.00
_cell_angle_beta 90.00
_cell_angle_gamma 90.00
loop_
_atom_site_label
_atom_site_fract_x
_atom_site_fract_y
_atom_site_fract_z
Er1 0.000 0.000 0.000
Tm1 0.000 0.000 0.500
Mg1 0.250 0.250 0.250
In1 0.250 0.250 0.750
```

A plane-wave DFT calculation with PBE was carried out for an optimized crystal structure of ErTm2Mg4In2.

The calculation puts the total energy at -3.05 eV/atom.

Geometry as CIF:
```
data_ErTm2Mg4In2
_symmetry_space_group_name_H-M 'A m m 2'
_symmetry_Int_Tables_number 38
_symmetry_space_group_name_Hall 'A 2 -2'
_cell_length_a 4.626
_cell_length_b 13.025
_cell_length_c 7.506
_cell_angle_alpha 90.00
_cell_angle_beta 90.00
_cell_angle_gamma 90.00
loop_
_atom_site_label
_atom_site_fract_x
_atom_site_fract_y
_atom_site_fract_z
Er1 0.000 0.000 0.000
Tm1 0.000 0.219 0.658
Mg1 0.000 0.000 0.439
Mg2 0.500 0.000 0.681
Mg3 0.500 0.121 0.317
In1 0.500 0.167 0.938
```

A plane-wave DFT calculation with PBE was carried out for an optimized crystal structure of ErTm2Mg3ZnIn2.

The calculation puts the total energy at -3.10 eV/atom.

Geometry as CIF:
```
data_ErTm2Mg3ZnIn2
_symmetry_space_group_name_H-M 'A m m 2'
_symmetry_Int_Tables_number 38
_symmetry_space_group_name_Hall 'A 2 -2'
_cell_length_a 4.514
_cell_length_b 12.886
_cell_length_c 7.425
_cell_angle_alpha 90.00
_cell_angle_beta 90.00
_cell_angle_gamma 90.00
loop_
_atom_site_label
_atom_site_fract_x
_atom_site_fract_y
_atom_site_fract_z
Er1 0.000 0.000 0.000
Tm1 0.000 0.209 0.626
Mg1 0.500 0.000 0.655
Mg2 0.500 0.118 0.300
Zn1 0.000 0.000 0.419
In1 0.500 0.167 0.918
```

A plane-wave DFT calculation with PBE was carried out for an optimized crystal structure of ErInMo.

The calculation puts the total energy at -4.97 eV/atom.

Geometry as CIF:
```
data_ErInMo
_symmetry_space_group_name_H-M 'F -4 3 m'
_symmetry_Int_Tables_number 216
_symmetry_space_group_name_Hall 'F -4 2 3'
_cell_length_a 6.897
_cell_length_b 6.897
_cell_length_c 6.897
_cell_angle_alpha 90.00
_cell_angle_beta 90.00
_cell_angle_gamma 90.00
loop_
_atom_site_label
_atom_site_fract_x
_atom_site_fract_y
_atom_site_fract_z
Er1 0.000 0.000 0.000
In1 0.250 0.250 0.750
Mo1 0.250 0.250 0.250
```

A plane-wave DFT calculation with PBE was carried out for an optimized crystal structure of ErInNO.

Its energy above the lowest structure with this stoichiometry is 197 meV/atom.

Geometry as CIF:
```
data_ErInNO
_symmetry_space_group_name_H-M 'P 4/n m m'
_symmetry_Int_Tables_number 129
_cell_length_a 4.011
_cell_length_b 4.011
_cell_length_c 7.809
_cell_angle_alpha 90.00
_cell_angle_beta 90.00
_cell_angle_gamma 90.00
loop_
_symmetry_equiv_pos_as_xyz
'x,y,z'
'-x,-y,-z'
'-y+1/2,x,z'
'y+1/2,-x,-z'
'-x+1/2,-y+1/2,z'
'x+1/2,y+1/2,-z'
'y,-x+1/2,z'
'-y,x+1/2,-z'
'x+1/2,-y,-z'
'-x+1/2,y,z'
'-y,-x,-z'
'y,x,z'
'-x,y+1/2,-z'
'x,-y+1/2,z'
'y+1/2,x+1/2,-z'
'-y+1/2,-x+1/2,z'
loop_
_atom_site_label
_atom_site_fract_x
_atom_site_fract_y
_atom_site_fract_z
Er1 0.250 0.250 0.125
In1 0.250 0.750 0.500
N1 0.250 0.250 0.660
O1 0.250 0.750 0.000
```

A plane-wave DFT calculation with PBE was carried out for an optimized crystal structure of ErInNO.

Its energy above the lowest structure with this stoichiometry is 8 meV/atom.

Geometry as CIF:
```
data_ErInNO
_symmetry_space_group_name_H-M 'P m c 21'
_symmetry_Int_Tables_number 26
_symmetry_space_group_name_Hall 'P 2c -2'
_cell_length_a 3.731
_cell_length_b 6.595
_cell_length_c 5.710
_cell_angle_alpha 90.00
_cell_angle_beta 90.00
_cell_angle_gamma 90.00
loop_
_atom_site_label
_atom_site_fract_x
_atom_site_fract_y
_atom_site_fract_z
Er1 0.000 0.164 0.000
In1 0.500 0.335 0.483
N1 0.000 0.159 0.393
O1 0.500 0.282 0.874
```

A plane-wave DFT calculation with PBE was carried out for an optimized crystal structure of ErInNO.

Its energy above the lowest structure with this stoichiometry is 26 meV/atom.

Geometry as CIF:
```
data_ErInNO
_symmetry_space_group_name_H-M 'P m c 21'
_symmetry_Int_Tables_number 26
_symmetry_space_group_name_Hall 'P 2c -2'
_cell_length_a 3.765
_cell_length_b 6.346
_cell_length_c 5.901
_cell_angle_alpha 90.00
_cell_angle_beta 90.00
_cell_angle_gamma 90.00
loop_
_atom_site_label
_atom_site_fract_x
_atom_site_fract_y
_atom_site_fract_z
Er1 0.000 0.177 0.000
In1 0.500 0.329 0.513
N1 0.500 0.342 0.898
O1 0.000 0.143 0.367
```

A plane-wave DFT calculation with PBE was carried out for an optimized crystal structure of ErInNO.

Its energy above the lowest structure with this stoichiometry is 12 meV/atom.

Geometry as CIF:
```
data_ErInNO
_symmetry_space_group_name_H-M 'P c a 21'
_symmetry_Int_Tables_number 29
_symmetry_space_group_name_Hall 'P 2c -2ac'
_cell_length_a 6.850
_cell_length_b 7.519
_cell_length_c 5.143
_cell_angle_alpha 90.00
_cell_angle_beta 90.00
_cell_angle_gamma 90.00
loop_
_atom_site_label
_atom_site_fract_x
_atom_site_fract_y
_atom_site_fract_z
Er1 0.087 0.132 0.000
In1 0.111 0.651 0.992
N1 0.091 0.119 0.554
O1 0.013 0.600 0.588
```

Number 1: volume 102.49 Å³/f.u., calculated density 7.7 Mg/m³. Number 2: volume 226.14 Å³/f.u., calculated density 6.1 Mg/m³. Number 3: volume 215.94 Å³/f.u., calculated density 6.7 Mg/m³. Number 4: volume 82.03 Å³/f.u., calculated density 7.7 Mg/m³. Number 5: volume 62.81 Å³/f.u., calculated density 8.3 Mg/m³. Number 6: volume 70.26 Å³/f.u., calculated density 7.4 Mg/m³. Number 7: volume 70.49 Å³/f.u., calculated density 7.4 Mg/m³. Number 8: volume 66.23 Å³/f.u., calculated density 7.8 Mg/m³.